This record from Alexandria via LeMat-Bulk describes crystalline LiZnCu2F8 at its relaxed geometry. The functional is PBE.

Geometry as CIF:
```
data_LiZnCu2F8
_chemical_formula_sum 'Li2 Zn2 Cu4 F16'
_symmetry_space_group_name_H-M 'I -4'
_symmetry_Int_Tables_number 82
_cell_length_a 5.181
_cell_length_b 5.181
_cell_length_c 10.791
_cell_angle_alpha 90.00
_cell_angle_beta 90.00
_cell_angle_gamma 90.00
loop_
_symmetry_equiv_pos_as_xyz
'x,y,z'
'y,-x,-z'
'-x,-y,z'
'-y,x,-z'
'x+1/2,y+1/2,z+1/2'
'y+1/2,-x+1/2,-z+1/2'
'-x+1/2,-y+1/2,z+1/2'
'-y+1/2,x+1/2,-z+1/2'
loop_
_atom_site_label
_atom_site_type_symbol
_atom_site_fract_x
_atom_site_fract_y
_atom_site_fract_z
_atom_site_occupancy
Li1 Li 0.000 0.000 0.000 1
Zn1 Zn 0.000 0.500 0.750 1
Cu1 Cu 0.000 0.000 0.500 1
Cu2 Cu 0.000 0.500 0.250 1
F1 F 0.170 0.300 0.527 1
F2 F 0.180 0.809 0.219 1
```

Results
size of the total moment: 1.03 μB per formula unit
formation energy from raw total energies: -1804.2 meV per atom
density: 4.0 g cm⁻³



This record from Alexandria via LeMat-Bulk describes crystalline Ba2MnAu at its relaxed geometry. The functional is PBE.

Geometry as CIF:
```
data_Ba2MnAu
_chemical_formula_sum 'Ba8 Mn4 Au4'
_symmetry_space_group_name_H-M 'F -4 3 m'
_symmetry_Int_Tables_number 216
_symmetry_space_group_name_Hall 'F -4 2 3'
_cell_length_a 7.803
_cell_length_b 7.803
_cell_length_c 7.803
_cell_angle_alpha 90.00
_cell_angle_beta 90.00
_cell_angle_gamma 90.00
loop_
_atom_site_label
_atom_site_type_symbol
_atom_site_fract_x
_atom_site_fract_y
_atom_site_fract_z
_atom_site_occupancy
Ba1 Ba 0.000 0.000 0.000 1
Ba2 Ba 0.250 0.250 0.250 1
Mn1 Mn 0.250 0.250 0.750 1
Au1 Au 0.000 0.000 0.500 1
```

Results
size of the total moment: 4.54 μB per formula unit
ΔE_f: 200 meV per atom
energy above the lowest structure with this stoichiometry: 275 meV per atom
density: 7.4 g cm⁻³